The following is a DFT calculation (PBE-GGA) of NdCo6 after structural relaxation.

The formation energy comes out at 485 meV per atom. The calculation puts the density at 7.4 Mg/m³. The density of states at the Fermi level comes out at 24.802 states/eV/cell. The volume comes out at 15.93 Å³ per atom.

Structure (CIF):
```
data_NdCo6
_chemical_formula_sum 'Nd2 Co12'
_symmetry_space_group_name_H-M 'I m -3 m'
_symmetry_Int_Tables_number 229
_symmetry_space_group_name_Hall '-I 4 2 3'
_cell_length_a 6.0640
_cell_length_b 6.0640
_cell_length_c 6.0640
_cell_angle_alpha 90.00
_cell_angle_beta 90.00
_cell_angle_gamma 90.00
loop_
_atom_site_label
_atom_site_fract_x
_atom_site_fract_y
_atom_site_fract_z
_atom_site_occupancy
Nd1 0.0000 0.0000 0.0000 1
Co1 0.0000 0.2500 0.5000 1
```


The following is a DFT calculation (PBE-GGA) of Nd3Co2 after structural relaxation.

The formation energy comes out at -22 meV per atom. As for the distance to the lowest polymorph of the same formula: 0 meV/atom. The calculation puts the density at 7.4 Mg/m³. The density of states at the Fermi level comes out at 12.019 states/eV/cell. The volume comes out at 24.87 Å³ per atom.

Structure (CIF):
```
data_Nd3Co2
_chemical_formula_sum 'Nd6 Co4'
_symmetry_space_group_name_H-M 'C m m m'
_symmetry_Int_Tables_number 65
_symmetry_space_group_name_Hall '-C 2 2'
_cell_length_a 4.0532
_cell_length_b 14.7517
_cell_length_c 4.1602
_cell_angle_alpha 90.00
_cell_angle_beta 90.00
_cell_angle_gamma 90.00
loop_
_atom_site_label
_atom_site_fract_x
_atom_site_fract_y
_atom_site_fract_z
_atom_site_occupancy
Nd1 0.0000 0.0000 0.0000 1
Nd2 0.0000 0.3525 0.5000 1
Co1 0.0000 0.2133 0.0000 1
```


The following is a DFT calculation (PBE-GGA) of NdCo13 after structural relaxation.

The formation energy comes out at -33 meV per atom. The calculation puts the density at 8.5 Mg/m³. The density of states at the Fermi level comes out at 139.763 states/eV/cell. The volume comes out at 12.68 Å³ per atom.

Structure (CIF):
```
data_NdCo13
_chemical_formula_sum 'Nd8 Co104'
_symmetry_space_group_name_H-M 'F m -3 c'
_symmetry_Int_Tables_number 226
_symmetry_space_group_name_Hall '-F 4a 2 3'
_cell_length_a 11.2401
_cell_length_b 11.2401
_cell_length_c 11.2401
_cell_angle_alpha 90.00
_cell_angle_beta 90.00
_cell_angle_gamma 90.00
loop_
_atom_site_label
_atom_site_fract_x
_atom_site_fract_y
_atom_site_fract_z
_atom_site_occupancy
Nd1 0.2500 0.2500 0.2500 1
Co1 0.0000 0.0000 0.0000 1
Co2 0.0000 0.1186 0.1776 1
```


The following is a DFT calculation (PBE-GGA) of Nd3Co2 after structural relaxation.

The formation energy comes out at -1 meV per atom. As for the distance to the lowest polymorph of the same formula: 21 meV/atom. The calculation puts the density at 7.1 Mg/m³. The density of states at the Fermi level comes out at 16.631 states/eV/cell. The volume comes out at 25.74 Å³ per atom.

Structure (CIF):
```
data_Nd3Co2
_chemical_formula_sum 'Nd18 Co12'
_symmetry_space_group_name_H-M 'R -3 c'
_symmetry_Int_Tables_number 167
_symmetry_space_group_name_Hall '-R 3 2"c'
_cell_length_a 6.8925
_cell_length_b 6.8925
_cell_length_c 18.7687
_cell_angle_alpha 90.00
_cell_angle_beta 90.00
_cell_angle_gamma 120.00
loop_
_atom_site_label
_atom_site_fract_x
_atom_site_fract_y
_atom_site_fract_z
_atom_site_occupancy
Nd1 0.0000 0.3481 0.2500 1
Co1 0.0000 0.0000 0.1781 1
```


The following is a DFT calculation (PBE-GGA) of Nd5Co3 after structural relaxation.

The formation energy comes out at -13 meV per atom. The calculation puts the density at 7.7 Mg/m³. The density of states at the Fermi level comes out at 29.736 states/eV/cell. The volume comes out at 24.32 Å³ per atom.

Structure (CIF):
```
data_Nd5Co3
_chemical_formula_sum 'Nd20 Co12'
_symmetry_space_group_name_H-M 'P 4/n c c'
_symmetry_Int_Tables_number 130
_cell_length_a 7.5797
_cell_length_b 7.5797
_cell_length_c 13.5454
_cell_angle_alpha 90.00
_cell_angle_beta 90.00
_cell_angle_gamma 90.00
loop_
_symmetry_equiv_pos_as_xyz
'x,y,z'
'-x,-y,-z'
'-y+1/2,x,z'
'y+1/2,-x,-z'
'-x+1/2,-y+1/2,z'
'x+1/2,y+1/2,-z'
'y,-x+1/2,z'
'-y,x+1/2,-z'
'x+1/2,-y,-z+1/2'
'-x+1/2,y,z+1/2'
'-y,-x,-z+1/2'
'y,x,z+1/2'
'-x,y+1/2,-z+1/2'
'x,-y+1/2,z+1/2'
'y+1/2,x+1/2,-z+1/2'
'-y+1/2,-x+1/2,z+1/2'
loop_
_atom_site_label
_atom_site_fract_x
_atom_site_fract_y
_atom_site_fract_z
_atom_site_occupancy
Nd1 0.0549 0.5942 0.1096 1
Nd2 0.2500 0.2500 0.2140 1
Co1 0.1396 0.6396 0.7500 1
Co2 0.2500 0.2500 0.4979 1
```


The following is a DFT calculation (PBE-GGA) of Nd2CoNi2 after structural relaxation.

The formation energy comes out at -215 meV per atom. The calculation puts the density at 7.7 Mg/m³. The density of states at the Fermi level comes out at 15.647 states/eV/cell. The volume comes out at 19.95 Å³ per atom.

Structure (CIF):
```
data_Nd2CoNi2
_chemical_formula_sum 'Nd8 Co4 Ni8'
_symmetry_space_group_name_H-M 'C 1 2/m 1'
_symmetry_Int_Tables_number 12
_cell_length_a 10.5138
_cell_length_b 3.9969
_cell_length_c 10.4625
_cell_angle_alpha 90.00
_cell_angle_beta 114.82
_cell_angle_gamma 90.00
loop_
_symmetry_equiv_pos_as_xyz
'x,y,z'
'-x,-y,-z'
'-x,y,-z'
'x,-y,z'
'x+1/2,y+1/2,z'
'-x+1/2,-y+1/2,-z'
'-x+1/2,y+1/2,-z'
'x+1/2,-y+1/2,z'
loop_
_atom_site_label
_atom_site_fract_x
_atom_site_fract_y
_atom_site_fract_z
_atom_site_occupancy
Nd1 0.0982 0.0000 0.3941 1
Nd2 0.2024 0.5000 0.1402 1
Co1 0.0714 0.5000 0.8174 1
Ni1 0.0377 0.0000 0.9103 1
Ni2 0.1128 0.5000 0.6138 1
```


What is the volume in the third record?
12.68 Å³ per atom


Repeat the third record exactly.
The following is a DFT calculation (PBE-GGA) of NdCo13 after structural relaxation.

The formation energy comes out at -33 meV per atom. The calculation puts the density at 8.5 Mg/m³. The density of states at the Fermi level comes out at 139.763 states/eV/cell. The volume comes out at 12.68 Å³ per atom.

Structure (CIF):
```
data_NdCo13
_chemical_formula_sum 'Nd8 Co104'
_symmetry_space_group_name_H-M 'F m -3 c'
_symmetry_Int_Tables_number 226
_symmetry_space_group_name_Hall '-F 4a 2 3'
_cell_length_a 11.2401
_cell_length_b 11.2401
_cell_length_c 11.2401
_cell_angle_alpha 90.00
_cell_angle_beta 90.00
_cell_angle_gamma 90.00
loop_
_atom_site_label
_atom_site_fract_x
_atom_site_fract_y
_atom_site_fract_z
_atom_site_occupancy
Nd1 0.2500 0.2500 0.2500 1
Co1 0.0000 0.0000 0.0000 1
Co2 0.0000 0.1186 0.1776 1
```


The highest volume belongs to which entry?
number 4


volume of number 2 (Nd3Co2)?
24.87 Å³ per atom